## TeWSe2 (PBE)

Data for TeWSe2 after structural relaxation.

## Properties
- electronic total energy (eV/cell) = -23.55
- crystal system = monoclinic

Structure (POSCAR):
```
TeWSe2
1.0
6.809 0.017 -0.052
6.087 3.051 -0.052
2.921 0.695 5.798
Te Se W
1 2 1
Direct
0.589 0.589 0.444
0.899 0.899 0.129
0.756 0.756 0.814
0.255 0.255 0.114
```



## TbY4N5 (PBE)

Data for TbY4N5 after structural relaxation.

## Properties
- electronic total energy (eV/cell) = -88.98
- crystal system = tetragonal

Structure (POSCAR):
```
TbY4N5
1.0
3.449 0.000 -0.486
-0.069 3.448 -0.486
0.010 0.011 12.554
Y Tb N
4 1 5
Direct
0.600 0.600 0.201
0.800 0.800 0.600
0.400 0.400 0.799
0.200 0.200 0.400
0.000 0.000 0.000
0.500 0.500 0.000
0.700 0.700 0.400
0.900 0.900 0.799
0.300 0.300 0.600
0.100 0.100 0.201
```



no.,calculated volume (Å³/atom),total moment (Bohr magnetons per cell)
1,30.09,0.000
2,14.93,0.000